Entry 1:
Entry from the Alexandria database: an optimized crystal structure of ReSn2O (PBE-GGA).

density of states at the Fermi level: 0.6808 states/eV/atom
final energy: -6.135 eV per atom
crystal system: tetragonal
ΔE_f (raw): 21.00 kJ/mol of atoms

Lattice parameters (Å, degrees): 6.410 6.410 7.088 90.00 90.00 90.00
Space group I-42d (No. 122)
Asymmetric unit:
Re  0.000  0.000  0.000 (multiplicity 4)
Sn  0.192  0.250  0.625 (multiplicity 8)
O  0.000  0.000  0.500 (multiplicity 4)

Entry 2:
Entry from the Alexandria database: an optimized crystal structure of SiSnPd3 (PBE-GGA).

energy above the lowest structure with this stoichiometry: 0 meV/atom
density of states at the Fermi level: 0.3342 states/eV/atom
final energy: -5.553 eV per atom
crystal system: monoclinic
ΔE_f (raw): -53.31 kJ/mol of atoms

Lattice parameters (Å, degrees): 8.355 5.006 9.816 90.00 125.85 90.00
Space group P2_1/c (No. 14)
Asymmetric unit:
Si  0.228  0.250  0.114 (multiplicity 4)
Sn  0.297  0.639  0.398 (multiplicity 4)
Pd  0.123  0.749  0.561 (multiplicity 4)
Pd  0.129  0.152  0.315 (multiplicity 4)
Pd  0.500  0.002  0.344 (multiplicity 4)

Entry 3:
Entry from the Alexandria database: an optimized crystal structure of SrNiCl2 (PBE-GGA).

energy above the lowest structure with this stoichiometry: 252 meV/atom
density of states at the Fermi level: 0.3635 states/eV/atom
final energy: -3.765 eV per atom
crystal system: tetragonal
ΔE_f (raw): -94.21 kJ/mol of atoms

Lattice parameters (Å, degrees): 5.264 5.264 14.140 90.00 90.00 90.00
Space group I-42d (No. 122)
Asymmetric unit:
Sr  0.000  0.000  0.000 (multiplicity 4)
Ni  0.000  0.000  0.500 (multiplicity 4)
Cl  0.169  0.250  0.625 (multiplicity 8)

Entry 4:
Entry from the Alexandria database: an optimized crystal structure of ZrMn2H2 (PBE-GGA).

energy above the lowest structure with this stoichiometry: 0 meV/atom
density of states at the Fermi level: 0.8654 states/eV/atom
final energy: -6.584 eV per atom
crystal system: tetragonal

Lattice parameters (Å, degrees): 3.268 3.268 9.360 90.00 90.00 90.00
Space group I4/mmm (No. 139)
Asymmetric unit:
Zr  0.000  0.000  0.000 (multiplicity 2)
Mn  0.000  0.500  0.250 (multiplicity 4)
H  0.000  0.000  0.364 (multiplicity 4)

Entry 5:
Entry from the Alexandria database: an optimized crystal structure of KDyPu2Se4 (PBE-GGA).

density of states at the Fermi level: 3.3623 states/eV/atom
final energy: -7.542 eV per atom
crystal system: monoclinic
ΔE_f (raw): -145.17 kJ/mol of atoms

Lattice parameters (Å, degrees): 7.248 4.176 7.373 90.00 107.94 90.00
Space group P2/m (No. 10)
Asymmetric unit:
K  0.000  0.000  0.000 (multiplicity 1)
Dy  0.000  0.500  0.500 (multiplicity 1)
Pu  0.500  0.000  0.500 (multiplicity 1)
Pu  0.500  0.500  0.000 (multiplicity 1)
Se  0.250  0.000  0.740 (multiplicity 2)
Se  0.263  0.500  0.272 (multiplicity 2)

Entry 6:
Entry from the Alexandria database: an optimized crystal structure of TbSm6Co3 (PBE-GGA).

density of states at the Fermi level: 0.9712 states/eV/atom
final energy: -5.418 eV per atom
crystal system: orthorhombic
formation enthalpy at 0 K: 0.1 eV per formula unit

Lattice parameters (Å, degrees): 11.896 11.956 7.122 90.00 90.00 90.00
Space group Cmc2_1 (No. 36)
Asymmetric unit:
Tb  0.000  0.200  0.000 (multiplicity 4)
Sm  0.000  0.205  0.555 (multiplicity 4)
Sm  0.000  0.494  0.046 (multiplicity 4)
Sm  0.203  0.000  0.029 (multiplicity 8)
Sm  0.220  0.271  0.279 (multiplicity 8)
Co  0.000  0.005  0.277 (multiplicity 4)
Co  0.127  0.376  0.788 (multiplicity 8)

Entry 7:
Entry from the Alexandria database: an optimized crystal structure of CaZnS2 (PBE-GGA).

density of states at the Fermi level: 0.6523 states/eV/atom
final energy: -3.354 eV per atom
crystal system: trigonal
ΔE_f (raw): -45.43 kJ/mol of atoms

Lattice parameters (Å, degrees): 3.8406 3.8406 23.1964 90.00 90.00 120.00
Space group R-3m (No. 166, hexagonal axes)
Asymmetric unit:
Ca  0.0000  0.0000  0.0000 (multiplicity 3)
Zn  0.0000  0.0000  0.5000 (multiplicity 3)
S  0.0000  0.0000  0.1108 (multiplicity 6)

Entry 8:
Entry from the Alexandria database: an optimized crystal structure of TlCuNF2 (PBE-GGA).

energy above the lowest structure with this stoichiometry: 608 meV/atom
density of states at the Fermi level: 0.3442 states/eV/atom
final energy: -3.559 eV per atom
crystal system: tetragonal
ΔE_f (raw): 14.18 kJ/mol of atoms

Lattice parameters (Å, degrees): 4.514 4.514 4.239 90.00 90.00 90.00
Space group P4/mmm (No. 123)
Asymmetric unit:
Tl  0.000  0.000  0.000 (multiplicity 1)
Cu  0.500  0.500  0.500 (multiplicity 1)
N  0.000  0.000  0.500 (multiplicity 1)
F  0.000  0.500  0.000 (multiplicity 2)